A geometry-optimized MoAu3O structure. Source: Alexandria via LeMat-Bulk, functional PBE with a Hubbard U.

a b c (Å): 5.2830 5.2830 5.2830
angles (deg): 90.00 90.00 90.00
Closest atoms and distances in Å follow each position.
Space group Pm-3m (No. 221)
One atom of each set of equivalent atoms:
Mo 0.0000 0.0000 0.0000  6 Au 2.64
Au 0.0000 0.0000 0.5000  2 Mo 2.64
O 0.5000 0.5000 0.5000  12 Au 3.74

crystal system	cubic
energy above the most stable polymorph in this dataset	1228.5	meV per atom